1.
Computed, not measured: an optimized crystal structure of NaAlInAu6 at the PBE level of DFT.

The structure in extended XYZ format:
```
18
Lattice="-4.3400 -5.6380 1.1896 5.8117 -5.5692 -5.1917 2.0745 4.3808 6.4588" Properties=species:S:1:pos:R:3 pbc="T T T"
Na 0.5190 -4.7491 1.2574
Na 3.0273 -2.0773 1.1992
Al 0.7359 -5.6036 -2.0011
Al -2.1700 -2.8190 0.5948
In -1.1328 -0.6286 3.8242
In 1.0372 2.1904 3.2294
Au 2.5137 -7.1372 -2.7837
Au -0.9047 -2.6094 6.2043
Au -2.6224 -4.9643 1.9684
Au 2.6239 -4.0829 -1.0974
Au -0.0048 -1.5639 1.2509
Au 0.0064 -7.4833 -0.3800
Au 1.0325 0.3108 5.2403
Au 4.4509 -4.2170 -3.7477
Au 6.1686 -1.8621 0.4883
Au 0.9223 -2.7434 3.5540
Au 3.5511 -5.2625 1.2057
Au 3.5399 0.6570 2.8366
```

Values from the calculation:
Calculated formation energy   -142 meV/atom
Magnetic moment   0.00 Bohr magnetons per cell

2.
Computed, not measured: an optimized crystal structure of ReBr2F2 at the PBE level of DFT.

The structure in extended XYZ format:
```
10
Lattice="5.7579 0.0000 3.1228 2.5098 5.8095 2.2420 0.0909 -0.3859 6.7022" Properties=species:S:1:pos:R:3 pbc="T T T"
Re 1.7490 0.0000 0.9486
Re 4.0089 0.0000 2.1742
Br 3.2241 4.3526 7.7946
Br 5.1344 1.0710 4.2723
Br 6.2625 4.0787 9.0620
Br 2.0960 1.3449 3.0049
F 3.5163 4.3083 4.1865
F 2.2696 1.1153 6.4851
F 6.0889 4.3083 5.5818
F 4.8423 1.1153 7.8804
```

Values from the calculation:
Formation energy from raw total energies   -1.1063 eV per atom
Energy above the lowest structure with this stoichiometry   0 meV per atom
Magnetic moment   1.94 Bohr magnetons per cell

Repeat the second record exactly.
Computed, not measured: an optimized crystal structure of ReBr2F2 at the PBE level of DFT.

The structure in extended XYZ format:
```
10
Lattice="5.7579 0.0000 3.1228 2.5098 5.8095 2.2420 0.0909 -0.3859 6.7022" Properties=species:S:1:pos:R:3 pbc="T T T"
Re 1.7490 0.0000 0.9486
Re 4.0089 0.0000 2.1742
Br 3.2241 4.3526 7.7946
Br 5.1344 1.0710 4.2723
Br 6.2625 4.0787 9.0620
Br 2.0960 1.3449 3.0049
F 3.5163 4.3083 4.1865
F 2.2696 1.1153 6.4851
F 6.0889 4.3083 5.5818
F 4.8423 1.1153 7.8804
```

Values from the calculation:
Formation energy from raw total energies   -1.1063 eV per atom
Energy above the lowest structure with this stoichiometry   0 meV per atom
Magnetic moment   1.94 Bohr magnetons per cell